--- one ---
DFT (PBE) results for a relaxed Dy6HoTm2 crystal. Values from VASP.

The space group is No. 2.

Geometry as Quantum ESPRESSO input:
```
&SYSTEM
  ibrav = 0, nat = 18, ntyp = 3
/
ATOMIC_SPECIES
Dy 162.50 Dy.upf
Ho 164.93 Ho.upf
Tm 168.93 Tm.upf
CELL_PARAMETERS angstrom
6.657 0.000 0.000
-0.832 9.080 0.000
-0.979 -1.515 9.336
ATOMIC_POSITIONS crystal
Dy 0.017 0.271 0.111
Dy 0.204 0.953 0.222
Dy 0.240 0.492 0.445
Dy 0.314 0.066 0.889
Dy 0.425 0.177 0.556
Dy 0.464 0.712 0.778
Dy 0.536 0.288 0.222
Dy 0.575 0.823 0.444
Dy 0.686 0.934 0.111
Dy 0.760 0.508 0.555
Dy 0.796 0.047 0.778
Dy 0.983 0.729 0.889
Ho 0.092 0.843 0.555
Ho 0.908 0.157 0.445
Tm 0.130 0.380 0.779
Tm 0.352 0.601 0.111
Tm 0.648 0.399 0.889
Tm 0.870 0.620 0.221
```

***

--- two ---
DFT (PBE) results for a relaxed Dy6HoTm2 crystal. Values from VASP.

The space group is No. 2.

Geometry as Quantum ESPRESSO input:
```
&SYSTEM
  ibrav = 0, nat = 9, ntyp = 3
/
ATOMIC_SPECIES
Dy 162.50 Dy.upf
Ho 164.93 Ho.upf
Tm 168.93 Tm.upf
CELL_PARAMETERS angstrom
3.523 0.000 0.000
0.008 8.614 0.000
1.752 -0.001 9.144
ATOMIC_POSITIONS crystal
Dy 0.111 0.334 0.279
Dy 0.222 0.666 0.057
Dy 0.333 0.000 0.833
Dy 0.667 0.000 0.167
Dy 0.778 0.334 0.943
Dy 0.889 0.666 0.721
Ho 0.000 0.000 0.500
Tm 0.444 0.333 0.610
Tm 0.556 0.667 0.390
```

***

Referenced to the most stable arrangement, the calculated values in meV per atom are one 0; two 14.

***

--- one ---
DFT (PBE) results for a relaxed Dy6Ho3Tm2 crystal. Values from VASP.

The space group is No. 166.

Geometry as Quantum ESPRESSO input:
```
&SYSTEM
  ibrav = 0, nat = 11, ntyp = 3
/
ATOMIC_SPECIES
Dy 162.50 Dy.upf
Ho 164.93 Ho.upf
Tm 168.93 Tm.upf
CELL_PARAMETERS angstrom
1.765 1.019 31.600
-1.765 1.019 31.600
0.000 -2.038 31.600
ATOMIC_POSITIONS crystal
Dy 0.091 0.091 0.091
Dy 0.182 0.182 0.182
Dy 0.364 0.364 0.364
Dy 0.636 0.636 0.636
Dy 0.818 0.818 0.818
Dy 0.909 0.909 0.909
Ho 0.000 0.000 0.000
Ho 0.273 0.273 0.273
Ho 0.727 0.727 0.727
Tm 0.455 0.455 0.455
Tm 0.545 0.545 0.545
```

***

--- two ---
DFT (PBE) results for a relaxed Dy6Ho3Tm2 crystal. Values from VASP.

The space group is No. 139.

Geometry as Quantum ESPRESSO input:
```
&SYSTEM
  ibrav = 0, nat = 11, ntyp = 3
/
ATOMIC_SPECIES
Dy 162.50 Dy.upf
Ho 164.93 Ho.upf
Tm 168.93 Tm.upf
CELL_PARAMETERS angstrom
-2.341 2.341 16.445
2.341 -2.341 16.445
2.341 2.341 -16.445
ATOMIC_POSITIONS crystal
Dy 0.121 0.621 0.500
Dy 0.197 0.197 0.000
Dy 0.379 0.879 0.500
Dy 0.621 0.121 0.500
Dy 0.803 0.803 0.000
Dy 0.879 0.379 0.500
Ho 0.300 0.300 0.000
Ho 0.500 0.500 0.000
Ho 0.700 0.700 0.000
Tm 0.046 0.046 0.000
Tm 0.954 0.954 0.000
```

***

Referenced to the most stable arrangement, the calculated values in meV per atom are one 0; two 274.

***

--- one ---
DFT (PBE) results for a relaxed DyYHoTm crystal. Values from VASP.

The space group is No. 216.

Geometry as Quantum ESPRESSO input:
```
&SYSTEM
  ibrav = 0, nat = 16, ntyp = 4
/
ATOMIC_SPECIES
Dy 162.50 Dy.upf
Y 88.91 Y.upf
Ho 164.93 Ho.upf
Tm 168.93 Tm.upf
CELL_PARAMETERS angstrom
7.979 0.000 0.000
0.000 7.979 0.000
0.000 0.000 7.979
ATOMIC_POSITIONS crystal
Dy 0.000 0.000 0.000
Dy 0.000 0.500 0.500
Dy 0.500 0.000 0.500
Dy 0.500 0.500 0.000
Y 0.000 0.000 0.500
Y 0.000 0.500 0.000
Y 0.500 0.000 0.000
Y 0.500 0.500 0.500
Ho 0.250 0.250 0.750
Ho 0.250 0.750 0.250
Ho 0.750 0.250 0.250
Ho 0.750 0.750 0.750
Tm 0.250 0.250 0.250
Tm 0.250 0.750 0.750
Tm 0.750 0.250 0.750
Tm 0.750 0.750 0.250
```

***

--- two ---
DFT (PBE) results for a relaxed DyYHoTm crystal. Values from VASP.

The space group is No. 119.

Geometry as Quantum ESPRESSO input:
```
&SYSTEM
  ibrav = 0, nat = 8, ntyp = 4
/
ATOMIC_SPECIES
Dy 162.50 Dy.upf
Y 88.91 Y.upf
Ho 164.93 Ho.upf
Tm 168.93 Tm.upf
CELL_PARAMETERS angstrom
4.993 0.000 0.000
0.000 4.993 0.000
0.000 0.000 9.989
ATOMIC_POSITIONS crystal
Dy 0.000 0.000 0.000
Dy 0.500 0.500 0.500
Y 0.000 0.500 0.750
Y 0.500 0.000 0.250
Ho 0.000 0.500 0.250
Ho 0.500 0.000 0.750
Tm 0.000 0.000 0.500
Tm 0.500 0.500 0.000
```

***

Referenced to the most stable arrangement, the calculated values in meV per atom are one 114; two 0.